# 1
Entry from the Alexandria database: a relaxed structure of Tb4YHo10 (PBE).

Cell: 9.3886 9.3886 9.3886 Å, 99.57 99.57 131.86°
Element x y z (fractional)
Tb: 0.1005 0.7006 0.8012
Tb: 0.2994 0.1005 0.3999
Tb: 0.7006 0.8995 0.6001
Tb: 0.8995 0.2994 0.1988
Y: 0.5000 0.5000 0.0000
Ho: 0.0481 0.3491 0.8985
Ho: 0.1497 0.0481 0.6990
Ho: 0.2500 0.7500 0.5000
Ho: 0.3491 0.4507 0.3010
Ho: 0.4507 0.1497 0.1015
Ho: 0.5493 0.8503 0.8985
Ho: 0.6509 0.5493 0.6990
Ho: 0.7500 0.2500 0.5000
Ho: 0.8503 0.9519 0.3010
Ho: 0.9519 0.6509 0.1015

N(E_F) = 16.5 states/eV/cell
magnetic moment = 0.00 μB per atom
ΔE_f = 71.5 kJ per mole of atoms
space group = No. 87



# 2
Entry from the Alexandria database: a relaxed structure of TbY12Ho7 (PBE).

Cell: 10.9531 10.9531 10.9531 Å, 115.94 115.94 115.94°
Element x y z (fractional)
Tb: 0.0000 0.0000 0.0000
Y: 0.0813 0.2926 0.5023
Y: 0.1996 0.7450 0.2671
Y: 0.2550 0.7329 0.8004
Y: 0.2671 0.1996 0.7450
Y: 0.2926 0.5023 0.0813
Y: 0.4977 0.9187 0.7074
Y: 0.5023 0.0813 0.2926
Y: 0.7074 0.4977 0.9187
Y: 0.7329 0.8004 0.2550
Y: 0.7450 0.2671 0.1996
Y: 0.8004 0.2550 0.7329
Y: 0.9187 0.7074 0.4977
Ho: 0.0670 0.3688 0.2031
Ho: 0.2031 0.0670 0.3688
Ho: 0.3688 0.2031 0.0670
Ho: 0.5000 0.5000 0.5000
Ho: 0.6312 0.7969 0.9330
Ho: 0.7969 0.9330 0.6312
Ho: 0.9330 0.6312 0.7969

ΔE to the lowest computed polymorph = 0.050 eV/atom
N(E_F) = 30.2 states/eV/cell
magnetic moment = 0.00 μB per atom
ΔE_f = 32.4 kJ per mole of atoms
space group = No. 148



# 3
Entry from the Alexandria database: a relaxed structure of Tb2Y9Ho3 (PBE).

Cell: 5.0281 9.4191 10.6788 Å, 104.60 103.57 105.46°
Element x y z (fractional)
Tb: 0.0000 0.0000 0.0000
Tb: 0.2840 0.2127 0.3555
Y: 0.9995 0.5006 0.4984
Y: 0.2859 0.7142 0.8576
Y: 0.4281 0.0715 0.7847
Y: 0.4284 0.5722 0.2846
Y: 0.5707 0.4281 0.7135
Y: 0.7127 0.2842 0.1414
Y: 0.7141 0.7862 0.6420
Y: 0.8558 0.1422 0.5694
Y: 0.8570 0.6429 0.0711
Ho: 0.1416 0.3558 0.9275
Ho: 0.1425 0.8581 0.4269
Ho: 0.5715 0.9290 0.2141

N(E_F) = 20.4 states/eV/cell
magnetic moment = 0.00 μB per atom
ΔE_f = 2.2 kJ per mole of atoms
space group = No. 1



# 4
Entry from the Alexandria database: a relaxed structure of Tb4Y2Ho (PBE).

Cell: 3.5898 3.5898 20.0619 Å, 90.00 90.00 120.00°
Element x y z (fractional)
Tb: 0.0000 0.0000 0.0000
Tb: 0.0000 0.0000 0.2828
Tb: 0.6667 0.3333 0.4268
Tb: 0.6667 0.3333 0.7130
Y: 0.3333 0.6667 0.5704
Y: 0.3333 0.6667 0.8564
Ho: 0.3333 0.6667 0.1409

ΔE to the lowest computed polymorph = 0.000 eV/atom
N(E_F) = 10.2 states/eV/cell
magnetic moment = 0.00 μB per atom
ΔE_f = 0.6 kJ per mole of atoms
space group = No. 156



# 5
Entry from the Alexandria database: a relaxed structure of Tb5Y2Ho (PBE).

Cell: 7.1229 14.2464 5.0266 Å, 90.00 90.00 90.00°
Element x y z (fractional)
Tb: 0.0000 0.0000 0.0000
Tb: 0.0008 0.2502 0.0000
Tb: 0.2504 0.3751 0.5000
Tb: 0.2496 0.8751 0.5000
Tb: 0.4992 0.7502 0.0000
Tb: 0.5000 0.5000 0.0000
Tb: 0.5008 0.2498 0.0000
Tb: 0.7504 0.1249 0.5000
Tb: 0.7496 0.6249 0.5000
Tb: 0.9992 0.7498 0.0000
Y: 0.2494 0.6247 0.5000
Y: 0.2506 0.1247 0.5000
Y: 0.7494 0.8753 0.5000
Y: 0.7506 0.3753 0.5000
Ho: 0.0000 0.5000 0.0000
Ho: 0.5000 0.0000 0.0000

ΔE to the lowest computed polymorph = 0.000 eV/atom
N(E_F) = 19.7 states/eV/cell
magnetic moment = 0.00 μB per atom
ΔE_f = 1.6 kJ per mole of atoms
space group = No. 55



# 6
Entry from the Alexandria database: a relaxed structure of Tb5YHo (PBE).

Cell: 7.9338 7.9338 7.9338 Å, 137.10 113.90 82.09°
Element x y z (fractional)
Tb: 0.0000 0.0000 0.0000
Tb: 0.2452 0.7452 0.5000
Tb: 0.3221 0.5000 0.8221
Tb: 0.6779 0.5000 0.1779
Tb: 0.7548 0.2548 0.5000
Y: 0.5000 0.0000 0.5000
Ho: 0.0000 0.5000 0.5000

ΔE to the lowest computed polymorph = 0.914 eV/atom
N(E_F) = 9.1 states/eV/cell
magnetic moment = 0.00 μB per atom
ΔE_f = 105.7 kJ per mole of atoms
space group = No. 71



# 7
Entry from the Alexandria database: a relaxed structure of TbY8Ho2 (PBE).

Cell: 9.2854 9.2854 5.8847 Å, 105.67 105.67 121.78°
Element x y z (fractional)
Tb: 0.0000 0.0000 0.0000
Y: 0.0985 0.3362 0.6780
Y: 0.2058 0.7942 0.0000
Y: 0.3362 0.0985 0.6780
Y: 0.4286 0.4286 0.2069
Y: 0.5714 0.5714 0.7931
Y: 0.6638 0.9015 0.3220
Y: 0.7942 0.2058 0.0000
Y: 0.9015 0.6638 0.3220
Ho: 0.3082 0.6918 0.5000
Ho: 0.6918 0.3082 0.5000

ΔE to the lowest computed polymorph = 0.000 eV/atom
N(E_F) = 18.0 states/eV/cell
magnetic moment = 0.00 μB per atom
ΔE_f = 15.6 kJ per mole of atoms
space group = No. 12



# 8
Entry from the Alexandria database: a relaxed structure of Tb4Y5Ho (PBE).

Cell: 12.8700 12.8700 7.1179 Å, 97.99 97.99 15.88°
Element x y z (fractional)
Tb: 0.0996 0.0996 0.2980
Tb: 0.2997 0.2997 0.8992
Tb: 0.7003 0.7003 0.1008
Tb: 0.9004 0.9004 0.7020
Y: 0.0999 0.0999 0.8017
Y: 0.3005 0.3005 0.4009
Y: 0.5000 0.5000 0.5000
Y: 0.6995 0.6995 0.5991
Y: 0.9001 0.9001 0.1983
Ho: 0.5000 0.5000 0.0000

ΔE to the lowest computed polymorph = 0.000 eV/atom
N(E_F) = 14.3 states/eV/cell
magnetic moment = 0.00 μB per atom
ΔE_f = 1.8 kJ per mole of atoms
space group = No. 12



# 9
Entry from the Alexandria database: a relaxed structure of Tb4Y10Ho (PBE).

Cell: 9.4349 9.4349 9.4349 Å, 99.58 99.58 131.83°
Element x y z (fractional)
Tb: 0.1006 0.2991 0.3997
Tb: 0.2991 0.8994 0.1985
Tb: 0.7009 0.1006 0.8015
Tb: 0.8994 0.7009 0.6003
Y: 0.0504 0.1514 0.7006
Y: 0.1514 0.4508 0.1010
Y: 0.2500 0.7500 0.5000
Y: 0.3497 0.0504 0.8990
Y: 0.4508 0.3497 0.2994
Y: 0.5492 0.6503 0.7006
Y: 0.6503 0.9496 0.1010
Y: 0.7500 0.2500 0.5000
Y: 0.8486 0.5492 0.8990
Y: 0.9496 0.8486 0.2994
Ho: 0.5000 0.5000 0.0000

N(E_F) = 18.7 states/eV/cell
magnetic moment = 0.00 μB per atom
ΔE_f = 71.1 kJ per mole of atoms
space group = No. 87



# 10
Entry from the Alexandria database: a relaxed structure of TbY2Ho4 (PBE).

Cell: 3.5744 3.5744 19.9522 Å, 90.00 90.00 120.00°
Element x y z (fractional)
Tb: 0.0000 0.0000 0.0000
Y: 0.0000 0.0000 0.4299
Y: 0.0000 0.0000 0.7152
Ho: 0.3333 0.6667 0.2860
Ho: 0.3333 0.6667 0.5720
Ho: 0.6667 0.3333 0.1434
Ho: 0.6667 0.3333 0.8582

ΔE to the lowest computed polymorph = 0.000 eV/atom
N(E_F) = 10.0 states/eV/cell
magnetic moment = 0.00 μB per atom
ΔE_f = 0.6 kJ per mole of atoms
space group = No. 156



Which of these has the highest ΔE_f?
Tb5YHo



What did the third record say?
Entry from the Alexandria database: a relaxed structure of Tb2Y9Ho3 (PBE).

Cell: 5.0281 9.4191 10.6788 Å, 104.60 103.57 105.46°
Element x y z (fractional)
Tb: 0.0000 0.0000 0.0000
Tb: 0.2840 0.2127 0.3555
Y: 0.9995 0.5006 0.4984
Y: 0.2859 0.7142 0.8576
Y: 0.4281 0.0715 0.7847
Y: 0.4284 0.5722 0.2846
Y: 0.5707 0.4281 0.7135
Y: 0.7127 0.2842 0.1414
Y: 0.7141 0.7862 0.6420
Y: 0.8558 0.1422 0.5694
Y: 0.8570 0.6429 0.0711
Ho: 0.1416 0.3558 0.9275
Ho: 0.1425 0.8581 0.4269
Ho: 0.5715 0.9290 0.2141

N(E_F) = 20.4 states/eV/cell
magnetic moment = 0.00 μB per atom
ΔE_f = 2.2 kJ per mole of atoms
space group = No. 1